The following is a DFT calculation (SCAN) of PbCSNCl at its PBEsol-relaxed geometry.

## Properties
Magnetic moment (μB per cell): 0.0
Total energy (eV for the cell shown): -457.48
Formation energy without anion corrections (eV/atom): -0.318

Lattice parameters (Å, degrees): 10.0076 4.1514 9.7362 90.00 90.00 90.00
Atoms (fractional coordinates):
Pb  0.1944  0.2500  0.0754
Pb  0.3056  0.7500  0.5754
Pb  0.6944  0.2500  0.4246
Pb  0.8056  0.7500  0.9246
C  0.0183  0.2500  0.6413
C  0.4817  0.7500  0.1413
C  0.5183  0.2500  0.8587
C  0.9817  0.7500  0.3587
S  0.1368  0.7500  0.3086
S  0.3632  0.2500  0.8086
S  0.6368  0.7500  0.1914
S  0.8632  0.2500  0.6914
N  0.1310  0.2500  0.6029
N  0.3690  0.7500  0.1029
N  0.6310  0.2500  0.8971
N  0.8690  0.7500  0.3971
Cl  0.0972  0.7500  0.8955
Cl  0.4028  0.2500  0.3955
Cl  0.5972  0.7500  0.6045
Cl  0.9028  0.2500  0.1045